DFT (PBE) results for an optimized crystal structure of Nd3GdDy2CoSe2.

Unit cell a=3.8921 b=8.2467 c=8.2467 alpha=120.12 beta=90.00 gamma=90.00
Last column: nearest neighbours and their distance in Å.
Fractional coordinates of all 9 atoms:
1 Nd 0.0000 0.0000 0.0000  4 Se 3.16, 1 Co 3.38, 2 Gd 3.46
2 Nd 0.0000 0.1703 0.5854  4 Se 3.15, 1 Co 3.44, 2 Dy 3.46
3 Nd 0.0000 0.5854 0.1703  4 Se 3.15, 1 Co 3.44, 2 Dy 3.46
4 Gd 0.5000 0.3472 0.3472  2 Co 2.78
5 Dy 0.5000 0.5855 0.8233  2 Co 2.75
6 Dy 0.5000 0.8233 0.5855  2 Co 2.75
7 Co 0.0000 0.5892 0.5892  4 Dy 2.75, 2 Gd 2.78
8 Se 0.5000 0.2520 0.9178  6 Nd 3.15-3.16, 2 Dy 3.21, 1 Gd 3.22
9 Se 0.5000 0.9178 0.2520  6 Nd 3.15-3.16, 2 Dy 3.21, 1 Gd 3.22

Summary:
Uncorrected energy   -49.39 eV/cell